Computed, not measured: a relaxed TlPtO2F crystal at the GGA-PBE level of DFT.

## Properties
Raw formation energy: -67 kJ per mole of atoms

Unit cell a=3.786 b=3.786 c=6.597 alpha=90.00 beta=90.00 gamma=90.00
Space group P4/mmm (No. 123)
Symmetry-distinct sites (fractional):
Tl1 0.000 0.000 0.000 x1
Pt1 0.500 0.500 0.500 x1
O1 0.000 0.500 0.500 x2
F1 0.500 0.500 0.000 x1